1.
{
  "formula": "Er6Hg2Pd",
  "functional": "GGA-PBE",
  "state": "optimized geometry",
  "space_group": "No. 71",
  "total_magnetization_mub_per_atom": 0.0000,
  "density_g_cm3": 9.573,
  "dos_at_fermi_per_ev_fu": 11.153,
  "e_form_ev_per_fu": -2.20,
  "lattice": [[-2.499, 3.541, 7.406], [2.499, -3.541, 7.406], [2.499, 3.541, -7.406]],
  "species": ["Er", "Er", "Er", "Er", "Er", "Er", "Hg", "Hg", "Pd"],
  "frac_coords": [[0.085, 0.339, 0.745], [0.239, 0.000, 0.239], [0.406, 0.661, 0.745], [0.594, 0.339, 0.255], [0.761, 0.000, 0.761], [0.915, 0.661, 0.255], [0.333, 0.833, 0.500], [0.667, 0.167, 0.500], [0.000, 0.500, 0.500]]
}

***

2.
{
  "formula": "NpNbTc4",
  "functional": "GGA-PBE",
  "state": "optimized geometry",
  "space_group": "No. 216",
  "total_magnetization_mub_per_atom": 0.5537,
  "density_g_cm3": 11.564,
  "dos_at_fermi_per_ev_fu": 13.875,
  "e_form_ev_per_fu": 0.85,
  "lattice": [[0.000, 3.728, 3.728], [3.728, 0.000, 3.728], [3.728, 3.728, 0.000]],
  "species": ["Np", "Nb", "Tc", "Tc", "Tc", "Tc"],
  "frac_coords": [[0.000, 0.000, 0.000], [0.750, 0.750, 0.750], [0.376, 0.376, 0.376], [0.376, 0.376, 0.873], [0.376, 0.873, 0.376], [0.873, 0.376, 0.376]]
}

***

3.
{
  "formula": "MgCoRu2",
  "functional": "GGA-PBE",
  "state": "optimized geometry",
  "space_group": "No. 99",
  "total_magnetization_mub_per_atom": 0.2192,
  "density_g_cm3": 8.487,
  "dos_at_fermi_per_ev_fu": 5.303,
  "e_form_ev_per_fu": 0.55,
  "lattice": [[2.756, 0.000, 0.000], [0.000, 2.756, 0.000], [0.000, 0.000, 7.352]],
  "species": ["Mg", "Co", "Ru", "Ru"],
  "frac_coords": [[0.000, 0.000, 0.000], [0.500, 0.500, 0.745], [0.000, 0.000, 0.521], [0.500, 0.500, 0.280]]
}

***

4.
{
  "formula": "Dy5NpAs6",
  "functional": "GGA-PBE",
  "state": "optimized geometry",
  "space_group": "No. 12",
  "total_magnetization_mub_per_atom": 0.3056,
  "density_g_cm3": 8.420,
  "dos_at_fermi_per_ev_fu": 11.306,
  "e_form_ev_per_fu": -16.66,
  "lattice": [[3.563, -6.172, 0.000], [3.563, 6.172, 0.000], [-2.375, 0.000, 6.721]],
  "species": ["Dy", "Dy", "Dy", "Dy", "Dy", "Np", "As", "As", "As", "As", "As", "As"],
  "frac_coords": [[0.000, 0.000, 0.000], [0.166, 0.834, 0.500], [0.333, 0.667, 0.000], [0.667, 0.333, 0.000], [0.834, 0.166, 0.500], [0.500, 0.500, 0.500], [0.086, 0.417, 0.251], [0.252, 0.252, 0.748], [0.417, 0.086, 0.251], [0.583, 0.914, 0.749], [0.748, 0.748, 0.252], [0.914, 0.583, 0.749]]
}

***

5.
{
  "formula": "Tb4NiTe",
  "functional": "GGA-PBE",
  "state": "optimized geometry",
  "space_group": "No. 12",
  "e_form_raw_ev_per_atom": -0.33,
  "total_magnetization_mub_per_atom": 0.0000,
  "density_g_cm3": 6.332,
  "dos_at_fermi_per_ev_fu": 3.607,
  "lattice": [[9.338, -2.648, 0.000], [9.338, 2.648, 0.000], [-3.647, 0.000, 8.718]],
  "species": ["Tb", "Tb", "Tb", "Tb", "Tb", "Tb", "Tb", "Tb", "Ni", "Ni", "Te", "Te"],
  "frac_coords": [[0.025, 0.025, 0.206], [0.199, 0.199, 0.900], [0.250, 0.250, 0.319], [0.398, 0.398, 0.980], [0.602, 0.602, 0.020], [0.750, 0.750, 0.681], [0.801, 0.801, 0.100], [0.975, 0.975, 0.794], [0.115, 0.115, 0.060], [0.885, 0.885, 0.940], [0.160, 0.160, 0.541], [0.840, 0.840, 0.459]]
}

***

6.
{
  "formula": "LaAsF3",
  "functional": "GGA-PBE",
  "state": "optimized geometry",
  "space_group": "No. 221",
  "e_form_raw_ev_per_atom": -2.64,
  "total_magnetization_mub_per_atom": 0.6000,
  "density_g_cm3": 4.184,
  "dos_at_fermi_per_ev_fu": 0.000,
  "lattice": [[4.755, 0.000, 0.000], [0.000, 4.755, 0.000], [0.000, 0.000, 4.755]],
  "species": ["La", "As", "F", "F", "F"],
  "frac_coords": [[0.000, 0.000, 0.000], [0.500, 0.500, 0.500], [0.000, 0.000, 0.500], [0.000, 0.500, 0.000], [0.500, 0.000, 0.000]]
}

***

7.
{
  "formula": "Pr5TmSn4",
  "functional": "GGA-PBE",
  "state": "optimized geometry",
  "space_group": "No. 12",
  "total_magnetization_mub_per_atom": 0.0000,
  "density_g_cm3": 6.757,
  "dos_at_fermi_per_ev_fu": 6.323,
  "e_form_ev_per_fu": -5.42,
  "lattice": [[8.359, -2.713, 0.000], [8.359, 2.713, 0.000], [-0.133, 0.000, 7.306]],
  "species": ["Pr", "Pr", "Pr", "Pr", "Pr", "Tm", "Sn", "Sn", "Sn", "Sn"],
  "frac_coords": [[0.000, 0.000, 0.000], [0.333, 0.333, 0.494], [0.335, 0.335, 0.001], [0.665, 0.665, 0.999], [0.667, 0.667, 0.506], [0.000, 0.000, 0.500], [0.172, 0.172, 0.748], [0.493, 0.493, 0.739], [0.507, 0.507, 0.261], [0.828, 0.828, 0.252]]
}

***

8.
{
  "formula": "Pm2TlI",
  "functional": "GGA-PBE",
  "state": "optimized geometry",
  "space_group": "No. 123",
  "e_form_raw_ev_per_atom": -0.57,
  "total_magnetization_mub_per_atom": 0.0008,
  "density_g_cm3": 8.666,
  "dos_at_fermi_per_ev_fu": 4.155,
  "lattice": [[3.743, 0.000, 0.000], [0.000, 3.743, 0.000], [0.000, 0.000, 8.495]],
  "species": ["Pm", "Pm", "Tl", "I"],
  "frac_coords": [[0.000, 0.000, 0.238], [0.000, 0.000, 0.762], [0.500, 0.500, 0.000], [0.500, 0.500, 0.500]]
}

***

9.
{
  "formula": "Ac12Ge6N",
  "functional": "GGA-PBE",
  "state": "optimized geometry",
  "space_group": "No. 148",
  "e_form_raw_ev_per_atom": -0.50,
  "total_magnetization_mub_per_atom": 0.0001,
  "density_g_cm3": 7.684,
  "dos_at_fermi_per_ev_fu": 18.354,
  "lattice": [[6.785, 3.917, 4.301], [-6.785, 3.917, 4.301], [0.000, -7.835, 4.301]],
  "species": ["Ac", "Ac", "Ac", "Ac", "Ac", "Ac", "Ac", "Ac", "Ac", "Ac", "Ac", "Ac", "Ge", "Ge", "Ge", "Ge", "Ge", "Ge", "N"],
  "frac_coords": [[0.023, 0.930, 0.694], [0.070, 0.306, 0.977], [0.185, 0.564, 0.426], [0.306, 0.977, 0.070], [0.426, 0.185, 0.564], [0.436, 0.574, 0.815], [0.564, 0.426, 0.185], [0.574, 0.815, 0.436], [0.694, 0.023, 0.930], [0.815, 0.436, 0.574], [0.930, 0.694, 0.023], [0.977, 0.070, 0.306], [0.123, 0.294, 0.631], [0.294, 0.631, 0.123], [0.369, 0.877, 0.706], [0.631, 0.123, 0.294], [0.706, 0.369, 0.877], [0.877, 0.706, 0.369], [0.000, 0.000, 0.000]]
}

***

10.
{
  "formula": "Ba2NbCo",
  "functional": "GGA-PBE",
  "state": "optimized geometry",
  "space_group": "No. 225",
  "total_magnetization_mub_per_atom": 1.3359,
  "density_g_cm3": 5.596,
  "dos_at_fermi_per_ev_fu": 7.734,
  "e_form_ev_per_fu": 4.74,
  "lattice": [[7.970, 0.000, 0.000], [0.000, 7.970, 0.000], [0.000, 0.000, 7.970]],
  "species": ["Ba", "Ba", "Ba", "Ba", "Ba", "Ba", "Ba", "Ba", "Nb", "Nb", "Nb", "Nb", "Co", "Co", "Co", "Co"],
  "frac_coords": [[0.250, 0.250, 0.250], [0.250, 0.250, 0.750], [0.250, 0.750, 0.250], [0.250, 0.750, 0.750], [0.750, 0.250, 0.250], [0.750, 0.250, 0.750], [0.750, 0.750, 0.250], [0.750, 0.750, 0.750], [0.000, 0.000, 0.000], [0.000, 0.500, 0.500], [0.500, 0.000, 0.500], [0.500, 0.500, 0.000], [0.000, 0.000, 0.500], [0.000, 0.500, 0.000], [0.500, 0.000, 0.000], [0.500, 0.500, 0.500]]
}

***

11.
{
  "formula": "KRb2PRu",
  "functional": "GGA-PBE",
  "state": "optimized geometry",
  "space_group": "No. 123",
  "total_magnetization_mub_per_atom": 0.1115,
  "density_g_cm3": 2.849,
  "dos_at_fermi_per_ev_fu": 6.168,
  "e_form_ev_per_fu": 1.22,
  "lattice": [[6.671, 0.000, 0.000], [0.000, 6.671, 0.000], [0.000, 0.000, 4.480]],
  "species": ["K", "Rb", "Rb", "P", "Ru"],
  "frac_coords": [[0.000, 0.000, 0.000], [0.000, 0.500, 0.500], [0.500, 0.000, 0.500], [0.500, 0.500, 0.500], [0.500, 0.500, 0.000]]
}

***

12.
{
  "formula": "Sr2MgZn2Pt5",
  "functional": "GGA-PBE",
  "state": "optimized geometry",
  "space_group": "No. 127",
  "total_magnetization_mub_per_atom": 0.0000,
  "density_g_cm3": 11.445,
  "dos_at_fermi_per_ev_fu": 3.195,
  "e_form_ev_per_fu": -6.57,
  "lattice": [[9.977, 0.000, 0.000], [0.000, 9.977, 0.000], [0.000, 0.000, 3.807]],
  "species": ["Sr", "Sr", "Sr", "Sr", "Mg", "Mg", "Zn", "Zn", "Zn", "Zn", "Pt", "Pt", "Pt", "Pt", "Pt", "Pt", "Pt", "Pt", "Pt", "Pt"],
  "frac_coords": [[0.177, 0.323, 0.000], [0.323, 0.823, 0.000], [0.677, 0.177, 0.000], [0.823, 0.677, 0.000], [0.000, 0.000, 0.000], [0.500, 0.500, 0.000], [0.122, 0.622, 0.000], [0.378, 0.122, 0.000], [0.622, 0.878, 0.000], [0.878, 0.378, 0.000], [0.000, 0.500, 0.500], [0.062, 0.795, 0.500], [0.205, 0.062, 0.500], [0.295, 0.562, 0.500], [0.438, 0.295, 0.500], [0.500, 0.000, 0.500], [0.562, 0.705, 0.500], [0.705, 0.438, 0.500], [0.795, 0.938, 0.500], [0.938, 0.205, 0.500]]
}